The following is a DFT calculation (PBEsol) of crystalline GdNi2Ge2 at its relaxed geometry. Values from VASP.

The value obtained for the calculated total energy is -8.07 eV/atom. For the formation energy, the calculation gives -744 meV per atom.

Cell and atoms, written as Quantum ESPRESSO input:
```
&SYSTEM
  ibrav = 0, nat = 5, ntyp = 3
/
ATOMIC_SPECIES
Ni 58.69 Ni.upf
Gd 157.25 Gd.upf
Ge 72.64 Ge.upf
ATOMIC_POSITIONS crystal
Ni 0.750 0.250 0.500
Ni 0.250 0.750 0.500
Gd 0.000 0.000 0.000
Ge 0.370 0.370 0.741
Ge 0.630 0.630 0.259
CELL_PARAMETERS angstrom
-1.690 -1.159 3.473
3.624 0.014 1.768
-1.592 5.214 -1.376
```

***

The following is a DFT calculation (PBEsol) of crystalline CaZrFe2 at its relaxed geometry. Values from VASP.

The value obtained for the calculated total energy is -7.05 eV/atom. For the formation energy, the calculation gives 240 meV per atom.

Cell and atoms, written as Quantum ESPRESSO input:
```
&SYSTEM
  ibrav = 0, nat = 4, ntyp = 3
/
ATOMIC_SPECIES
Zr 91.22 Zr.upf
Fe 55.84 Fe.upf
Ca 40.08 Ca.upf
ATOMIC_POSITIONS crystal
Zr 0.000 0.124 0.248
Fe 0.500 0.684 0.367
Fe 0.000 0.789 0.577
Ca 0.500 0.406 0.813
CELL_PARAMETERS angstrom
-1.057 3.393 0.859
-3.671 -1.248 0.412
2.758 -0.391 4.938
```

***

The following is a DFT calculation (PBEsol) of crystalline Y2CdRh at its relaxed geometry. Values from VASP.

The value obtained for the calculated total energy is -6.23 eV/atom. For the formation energy, the calculation gives -484 meV per atom.

Cell and atoms, written as Quantum ESPRESSO input:
```
&SYSTEM
  ibrav = 0, nat = 4, ntyp = 3
/
ATOMIC_SPECIES
Cd 112.41 Cd.upf
Y 88.91 Y.upf
Rh 102.91 Rh.upf
ATOMIC_POSITIONS crystal
Cd 0.701 0.000 0.402
Y 0.273 0.500 0.545
Rh 0.539 0.500 0.079
Y 0.984 0.000 0.968
CELL_PARAMETERS angstrom
-0.081 -3.304 1.778
-0.587 -2.109 -3.946
5.373 1.219 -1.450
```

***

The following is a DFT calculation (PBEsol) of crystalline LaSNO2 at its relaxed geometry. Values from VASP.

The value obtained for the calculated total energy is -5.47 eV/atom. For the uncorrected formation energy, the calculation gives 285.1 meV per atom.

Cell and atoms, written as Quantum ESPRESSO input:
```
&SYSTEM
  ibrav = 0, nat = 5, ntyp = 4
/
ATOMIC_SPECIES
S 32.06 S.upf
O 16.00 O.upf
N 14.01 N.upf
La 138.91 La.upf
ATOMIC_POSITIONS crystal
S 0.500 0.500 0.500
O 0.500 0.000 0.000
N 0.000 0.000 0.500
La 0.000 0.000 0.000
O 0.000 0.500 0.000
CELL_PARAMETERS angstrom
-4.228 -0.355 0.140
0.094 -2.477 -3.447
0.452 -4.185 3.020
```

***

The following is a DFT calculation (PBEsol) of crystalline Sb5PO10 at its relaxed geometry. Values from VASP.

The value obtained for the calculated total energy is -6.61 eV/atom. For the uncorrected formation energy, the calculation gives -1547.7 meV per atom.

Cell and atoms, written as Quantum ESPRESSO input:
```
&SYSTEM
  ibrav = 0, nat = 64, ntyp = 3
/
ATOMIC_SPECIES
O 16.00 O.upf
P 30.97 P.upf
Sb 121.76 Sb.upf
ATOMIC_POSITIONS crystal
O 0.926 0.460 0.505
O 0.847 0.081 0.752
O 0.373 0.865 0.908
P 0.597 0.909 0.472
Sb 0.623 0.253 0.814
Sb 0.601 0.528 0.197
O 0.428 0.860 0.779
O 0.072 0.140 0.279
Sb 0.852 0.965 0.658
O 0.426 0.040 0.495
O 0.436 0.326 0.099
Sb 0.595 0.760 0.854
O 0.262 0.778 0.300
O 0.762 0.722 0.700
O 0.713 0.969 0.976
O 0.564 0.826 0.401
Sb 0.095 0.740 0.146
P 0.403 0.409 0.028
O 0.152 0.944 0.700
Sb 0.101 0.972 0.803
O 0.117 0.761 0.476
O 0.347 0.419 0.248
O 0.574 0.540 0.005
O 0.653 0.919 0.252
P 0.903 0.091 0.972
P 0.097 0.591 0.528
Sb 0.123 0.247 0.186
O 0.213 0.531 0.024
O 0.238 0.222 0.800
Sb 0.608 0.456 0.499
O 0.873 0.635 0.092
O 0.928 0.640 0.221
Sb 0.899 0.472 0.697
O 0.738 0.278 0.200
Sb 0.905 0.240 0.354
O 0.127 0.135 0.408
O 0.787 0.031 0.476
Sb 0.648 0.035 0.158
O 0.572 0.360 0.721
Sb 0.352 0.535 0.342
Sb 0.377 0.753 0.686
Sb 0.399 0.028 0.303
O 0.348 0.056 0.200
O 0.883 0.261 0.024
Sb 0.877 0.747 0.314
O 0.530 0.004 0.653
O 0.970 0.996 0.153
O 0.064 0.674 0.599
O 0.848 0.444 0.800
O 0.153 0.581 0.748
Sb 0.392 0.956 0.001
O 0.030 0.496 0.347
O 0.627 0.365 0.592
Sb 0.405 0.260 0.646
Sb 0.148 0.465 0.842
O 0.470 0.504 0.847
O 0.383 0.239 0.976
O 0.936 0.174 0.901
O 0.287 0.469 0.524
Sb 0.892 0.544 0.999
O 0.652 0.556 0.300
O 0.074 0.960 0.995
Sb 0.108 0.044 0.501
O 0.617 0.739 0.524
CELL_PARAMETERS angstrom
-5.193 2.011 -3.855
-4.418 -3.685 4.028
-2.556 15.887 11.731
```

***

The following is a DFT calculation (PBEsol) of crystalline InPbCl2 at its relaxed geometry. Values from VASP.

The value obtained for the calculated total energy is -3.33 eV/atom. For the uncorrected formation energy, the calculation gives -581.0 meV per atom. As for the energy above the most stable polymorph in this dataset: 0.078 eV/atom.

Cell and atoms, written as Quantum ESPRESSO input:
```
&SYSTEM
  ibrav = 0, nat = 4, ntyp = 3
/
ATOMIC_SPECIES
Pb 207.20 Pb.upf
Cl 35.45 Cl.upf
In 114.82 In.upf
ATOMIC_POSITIONS crystal
Pb 0.500 0.500 0.500
Cl 0.000 0.000 0.744
In 0.500 0.500 0.000
Cl 0.000 0.000 0.256
CELL_PARAMETERS angstrom
-0.420 1.563 -2.962
0.705 -3.642 -2.021
-6.830 -1.438 0.210
```

***

The following is a DFT calculation (PBEsol) of crystalline WF6 at its relaxed geometry. Values from VASP.

The value obtained for the calculated total energy is -6.30 eV/atom. For the uncorrected formation energy, the calculation gives -2671.1 meV per atom.

Cell and atoms, written as Quantum ESPRESSO input:
```
&SYSTEM
  ibrav = 0, nat = 28, ntyp = 2
/
ATOMIC_SPECIES
F 19.00 F.upf
W 183.84 W.upf
ATOMIC_POSITIONS crystal
F 0.567 0.100 0.262
F 0.933 0.100 0.762
F 0.379 0.250 0.758
F 0.737 0.600 0.518
F 0.737 0.900 0.518
W 0.585 0.750 0.628
F 0.263 0.400 0.482
F 0.433 0.900 0.738
F 0.710 0.250 0.485
W 0.085 0.250 0.872
F 0.290 0.750 0.515
F 0.621 0.750 0.242
F 0.210 0.750 0.015
F 0.790 0.250 0.985
F 0.237 0.100 0.982
F 0.763 0.600 0.018
F 0.067 0.900 0.238
W 0.415 0.250 0.372
F 0.237 0.400 0.982
F 0.933 0.400 0.762
F 0.121 0.250 0.258
F 0.067 0.600 0.238
F 0.567 0.400 0.262
F 0.763 0.900 0.018
W 0.915 0.750 0.128
F 0.433 0.600 0.738
F 0.263 0.100 0.482
F 0.879 0.750 0.742
CELL_PARAMETERS angstrom
5.085 0.000 0.000
0.000 8.741 0.000
0.000 0.000 9.647
```

***

The following is a DFT calculation (PBEsol) of crystalline ZnAu3 at its relaxed geometry. Values from VASP.

The value obtained for the calculated total energy is -3.45 eV/atom. For the formation energy, the calculation gives -108 meV per atom.

Cell and atoms, written as Quantum ESPRESSO input:
```
&SYSTEM
  ibrav = 0, nat = 4, ntyp = 2
/
ATOMIC_SPECIES
Au 196.97 Au.upf
Zn 65.41 Zn.upf
ATOMIC_POSITIONS crystal
Au 0.500 0.000 0.489
Au 0.000 0.000 0.999
Au 0.500 0.500 0.839
Zn 0.000 0.500 0.341
CELL_PARAMETERS angstrom
2.962 0.000 0.000
0.000 4.572 0.000
0.000 0.000 4.800
```

***

The following is a DFT calculation (PBEsol) of crystalline YCdSiN2 at its relaxed geometry. Values from VASP.

The value obtained for the calculated total energy is -4.99 eV/atom. For the uncorrected formation energy, the calculation gives 1173.4 meV per atom.

Cell and atoms, written as Quantum ESPRESSO input:
```
&SYSTEM
  ibrav = 0, nat = 5, ntyp = 4
/
ATOMIC_SPECIES
N 14.01 N.upf
Y 88.91 Y.upf
Si 28.09 Si.upf
Cd 112.41 Cd.upf
ATOMIC_POSITIONS crystal
N 0.000 0.500 0.000
Y 0.000 0.000 0.000
Si 0.500 0.500 0.500
N 0.500 0.000 0.000
Cd 0.000 0.000 0.500
CELL_PARAMETERS angstrom
-4.159 -0.538 -0.341
0.118 -2.866 3.078
-0.876 4.246 3.988
```

***

The following is a DFT calculation (PBEsol) of crystalline Y3Ge13Rh4 at its relaxed geometry. Values from VASP.

The value obtained for the calculated total energy is -6.47 eV/atom. For the formation energy, the calculation gives -609 meV per atom.

Cell and atoms, written as Quantum ESPRESSO input:
```
&SYSTEM
  ibrav = 0, nat = 40, ntyp = 3
/
ATOMIC_SPECIES
Ge 72.64 Ge.upf
Rh 102.91 Rh.upf
Y 88.91 Y.upf
ATOMIC_POSITIONS crystal
Ge 0.809 0.647 0.500
Ge 0.309 0.000 0.853
Ge 0.353 0.500 0.191
Ge 0.809 0.353 0.500
Ge 0.647 0.500 0.809
Ge 0.000 0.000 0.000
Ge 0.147 0.691 0.000
Ge 0.309 0.000 0.147
Rh 0.750 0.750 0.750
Y 0.500 0.250 0.000
Y 0.750 0.000 0.500
Ge 0.191 0.353 0.500
Rh 0.250 0.250 0.750
Ge 0.000 0.147 0.691
Rh 0.750 0.750 0.250
Ge 0.691 0.000 0.853
Rh 0.250 0.750 0.250
Ge 0.691 0.000 0.147
Ge 0.000 0.147 0.309
Y 0.000 0.500 0.750
Rh 0.250 0.250 0.250
Ge 0.191 0.647 0.500
Ge 0.853 0.309 0.000
Rh 0.250 0.750 0.750
Ge 0.500 0.191 0.353
Ge 0.647 0.500 0.191
Ge 0.500 0.191 0.647
Ge 0.500 0.809 0.647
Ge 0.147 0.309 0.000
Ge 0.000 0.853 0.691
Ge 0.500 0.500 0.500
Rh 0.750 0.250 0.250
Y 0.000 0.500 0.250
Ge 0.353 0.500 0.809
Y 0.500 0.750 0.000
Ge 0.853 0.691 0.000
Ge 0.000 0.853 0.309
Ge 0.500 0.809 0.353
Y 0.250 0.000 0.500
Rh 0.750 0.250 0.750
CELL_PARAMETERS angstrom
-2.551 8.507 -0.406
-8.516 -2.554 -0.008
-0.124 0.386 8.881
```

***

Among the records above, which one has the lowest calculated total energy? GdNi2Ge2

***

The lowest calculated total energy belongs to which entry? GdNi2Ge2